A plane-wave DFT calculation with PBE-GGA was carried out for a geometry-optimized InTc3 structure.

Cell: 4.9000 4.9000 2.8800 Å, 90.00 90.00 112.68°
With the nearest neighbours (Å) after each atom.
Element x y z (fractional)
In 0.0000 0.0000 0.0000  10 Tc 2.72-2.84, 2 In 2.88
Tc 0.0000 0.5000 0.5000  8 Tc 2.72-2.88, 4 In 2.84
Tc 0.5000 0.0000 0.5000  8 Tc 2.72-2.88, 4 In 2.84
Tc 0.5000 0.5000 0.0000  2 In 2.72, 10 Tc 2.84-2.88

Values from the calculation:
Mass density = 10.6 g cm⁻³
Symmetry = Cmmm (65)

A plane-wave DFT calculation with PBE-GGA was carried out for a geometry-optimized In3Tc structure.

Cell: 9.7348 9.7348 9.7348 Å, 19.13 19.13 19.13°
With the nearest neighbours (Å) after each atom.
Element x y z (fractional)
In 0.7391 0.7391 0.7391  3 Tc 2.79
In 0.2609 0.2609 0.2609  3 Tc 2.79
In 0.5000 0.5000 0.5000  12 In 3.24-3.28
Tc 0.0000 0.0000 0.0000  6 In 2.79

Values from the calculation:
Mass density = 8.5 g cm⁻³
Symmetry = R-3m (166)

A plane-wave DFT calculation with PBE-GGA was carried out for a geometry-optimized In2Tc structure.

Cell: 4.8363 4.8363 5.7881 Å, 90.00 90.00 120.00°
With the nearest neighbours (Å) after each atom.
Element x y z (fractional)
In 0.6667 0.3333 0.7500  5 Tc 2.79-2.89
In 0.0000 0.0000 0.0000  8 In 2.89-3.14, 6 Tc 3.14
In 0.0000 0.0000 0.5000  8 In 2.89-3.14, 6 Tc 3.14
In 0.3333 0.6667 0.2500  5 Tc 2.79-2.89
Tc 0.6667 0.3333 0.2500  5 In 2.79-2.89
Tc 0.3333 0.6667 0.7500  5 In 2.79-2.89

Values from the calculation:
Mass density = 9.3 g cm⁻³
Energy above the lowest structure with this stoichiometry = 0.315 eV per atom
Symmetry = P6_3/mmc (194)

A plane-wave DFT calculation with PBE-GGA was carried out for a geometry-optimized In3Tc structure.

Cell: 5.2355 5.2355 3.2349 Å, 90.00 90.00 111.60°
With the nearest neighbours (Å) after each atom.
Element x y z (fractional)
In 0.0000 0.5000 0.5000  8 In 2.94-3.23, 4 Tc 3.08
In 0.5000 0.0000 0.5000  8 In 2.94-3.23, 4 Tc 3.08
In 0.5000 0.5000 0.0000  2 Tc 2.94, 10 In 3.08-3.23
Tc 0.0000 0.0000 0.0000  10 In 2.94-3.08, 2 Tc 3.23

Values from the calculation:
Mass density = 8.9 g cm⁻³
Symmetry = Cmmm (65)

A plane-wave DFT calculation with PBE-GGA was carried out for a geometry-optimized In3Tc structure.

Cell: 5.5175 5.5175 5.0896 Å, 80.44 80.44 33.05°
With the nearest neighbours (Å) after each atom.
Element x y z (fractional)
In 0.2724 0.2724 0.2295  7 In 2.92-3.14, 2 Tc 2.94
In 0.7276 0.7276 0.7705  7 In 2.92-3.14, 2 Tc 2.94
In 0.5000 0.5000 0.5000  4 In 2.97-3.14, 4 Tc 2.99
Tc 0.0000 0.0000 0.0000  10 In 2.94-3.29, 2 Tc 3.14

Values from the calculation:
Mass density = 8.8 g cm⁻³
Symmetry = C2/m (12)

A plane-wave DFT calculation with PBE-GGA was carried out for a geometry-optimized InTc3 structure.

Cell: 5.0806 5.0806 5.0806 Å, 135.55 135.55 64.67°
With the nearest neighbours (Å) after each atom.
Element x y z (fractional)
Tc 0.5000 0.5000 0.0000  4 In 2.72, 8 Tc 2.88
Tc 0.2500 0.7500 0.5000  8 Tc 2.72-2.88, 4 In 2.88
Tc 0.7500 0.2500 0.5000  8 Tc 2.72-2.88, 4 In 2.88
In 0.0000 0.0000 0.0000  12 Tc 2.72-2.88

Values from the calculation:
Mass density = 10.7 g cm⁻³
Symmetry = I4/mmm (139)

A plane-wave DFT calculation with PBE-GGA was carried out for a geometry-optimized InTc3 structure.

Cell: 2.8643 2.8643 7.8151 Å, 90.00 90.00 90.00°
With the nearest neighbours (Å) after each atom.
Element x y z (fractional)
Tc 0.5000 0.5000 0.2740  8 Tc 2.69-2.86, 4 In 2.95
Tc 0.0000 0.0000 0.5000  12 Tc 2.69-2.86
Tc 0.5000 0.5000 0.7260  8 Tc 2.69-2.86, 4 In 2.95
In 0.0000 0.0000 0.0000  4 In 2.86, 8 Tc 2.95

Values from the calculation:
Mass density = 10.6 g cm⁻³
Symmetry = P4/mmm (123)

A plane-wave DFT calculation with PBE-GGA was carried out for a geometry-optimized In2Tc structure.

Cell: 6.9679 6.9679 6.9679 Å, 154.75 154.75 36.02°
With the nearest neighbours (Å) after each atom.
Element x y z (fractional)
Tc 0.0000 0.0000 0.0000  8 In 2.88, 4 Tc 3.05
In 0.3553 0.3553 0.0000  4 Tc 2.88, 4 In 3.05
In 0.6447 0.6447 0.0000  4 Tc 2.88, 4 In 3.05

Values from the calculation:
Mass density = 8.8 g cm⁻³
Energy above the lowest structure with this stoichiometry = 0.191 eV per atom
Symmetry = I4/mmm (139)

A plane-wave DFT calculation with PBE-GGA was carried out for a geometry-optimized In8Tc structure.

Cell: 7.7433 7.7433 7.7433 Å, 93.64 93.64 150.82°
With the nearest neighbours (Å) after each atom.
Element x y z (fractional)
In 0.0000 0.6726 0.6726  8 In 3.14-3.24, 1 Tc 3.47
In 0.0000 0.3274 0.3274  8 In 3.14-3.24, 1 Tc 3.47
In 0.3274 0.0000 0.3274  8 In 3.14-3.24, 1 Tc 3.47
In 0.6496 0.6496 0.2992  2 Tc 2.97, 6 In 3.14-3.17
In 0.6726 0.0000 0.6726  8 In 3.14-3.24, 1 Tc 3.47
In 0.3504 0.6496 0.0000  2 Tc 2.97, 6 In 3.14-3.17
In 0.3504 0.3504 0.7008  2 Tc 2.97, 6 In 3.14-3.17
In 0.6496 0.3504 0.0000  2 Tc 2.97, 6 In 3.14-3.17
Tc 0.0000 0.0000 0.0000  8 In 2.97

Values from the calculation:
Mass density = 7.7 g cm⁻³
Symmetry = I4/mmm (139)

A plane-wave DFT calculation with PBE-GGA was carried out for a geometry-optimized In2Tc structure.

Cell: 4.7760 4.7779 2.9431 Å, 90.00 90.03 120.01°
With the nearest neighbours (Å) after each atom.
Element x y z (fractional)
Tc 0.0000 0.0000 0.0000  6 In 2.92, 2 Tc 2.94
In 0.3334 0.6667 0.3240  3 Tc 2.92, 5 In 2.94-2.95
In 0.6666 0.3333 0.6760  3 Tc 2.92, 5 In 2.94-2.95

Values from the calculation:
Mass density = 9.4 g cm⁻³
Energy above the lowest structure with this stoichiometry = 0.273 eV per atom
Symmetry = P-3m1 (164)

A plane-wave DFT calculation with PBE-GGA was carried out for a geometry-optimized In2Tc structure.

Cell: 5.6001 5.6001 7.1803 Å, 80.61 80.61 32.89°
With the nearest neighbours (Å) after each atom.
Element x y z (fractional)
In 0.6124 0.6124 0.2701  4 Tc 2.79-2.91, 3 In 2.88-3.04
In 0.9722 0.9722 0.9588  4 Tc 2.77-3.06
In 0.3402 0.3402 0.3464  3 Tc 2.81-2.87, 3 In 2.88-3.04
In 0.6854 0.6854 0.6941  5 Tc 2.84-3.04, 6 In 3.14-3.18
Tc 0.9707 0.9707 0.5739  8 In 2.77-3.04
Tc 0.2525 0.2525 0.9900  8 In 2.79-3.06

Values from the calculation:
Mass density = 9.0 g cm⁻³
Energy above the lowest structure with this stoichiometry = 0.128 eV per atom
Symmetry = Cm (8)

A plane-wave DFT calculation with PBE-GGA was carried out for a geometry-optimized In2Tc structure.

Cell: 7.8537 7.8537 4.9173 Å, 90.00 90.00 156.41°
With the nearest neighbours (Å) after each atom.
Element x y z (fractional)
Tc 0.2827 0.7173 0.7500  6 In 2.77-2.86
Tc 0.7173 0.2827 0.2500  6 In 2.77-2.86
In 0.9366 0.0634 0.7500  2 Tc 2.86, 6 In 3.13-3.14
In 0.6343 0.3657 0.7500  4 Tc 2.77-2.79
In 0.3657 0.6343 0.2500  4 Tc 2.77-2.79
In 0.0634 0.9366 0.2500  2 Tc 2.86, 6 In 3.13-3.14

Values from the calculation:
Mass density = 9.0 g cm⁻³
Energy above the lowest structure with this stoichiometry = 0.109 eV per atom
Symmetry = Cmcm (63)

Number 1: calculated formation energy 0.4072 eV per atom. Number 2: calculated formation energy 0.2915 eV per atom. Number 3: calculated formation energy 0.5306 eV per atom. Number 4: calculated formation energy 0.3917 eV per atom. Number 5: calculated formation energy 0.3341 eV per atom. Number 6: calculated formation energy 0.3262 eV per atom. Number 7: calculated formation energy 0.1799 eV per atom. Number 8: calculated formation energy 0.4063 eV per atom. Number 9: calculated formation energy 0.2172 eV per atom. Number 10: calculated formation energy 0.4879 eV per atom. Number 11: calculated formation energy 0.3428 eV per atom. Number 12: calculated formation energy 0.3237 eV per atom.